Compound: TlPtAu3S4
Source: OQMD via LeMat-Bulk
Functional: PBE-GGA
Structure: relaxed

CIF file:
```
data_TlPtAu3S4
_chemical_formula_sum 'Tl1 Pt1 Au3 S4'
_cell_length_a 6.061
_cell_length_b 6.061
_cell_length_c 6.061
_cell_angle_alpha 90.00
_cell_angle_beta 90.00
_cell_angle_gamma 90.00
_symmetry_space_group_name_H-M 'P -4 3 m'
_symmetry_Int_Tables_number 215
_symmetry_space_group_name_Hall 'P -4 2 3'
loop_
_atom_site_label
_atom_site_type_symbol
_atom_site_fract_x
_atom_site_fract_y
_atom_site_fract_z
Tl1 Tl 0.000 0.000 0.000
Pt1 Pt 0.500 0.500 0.500
Au1 Au 0.000 0.500 0.500
S1 S 0.269 0.269 0.269
```



Compound: TlPtAuS3
Source: OQMD via LeMat-Bulk
Functional: PBE-GGA
Structure: relaxed

CIF file:
```
data_TlPtAuS3
_chemical_formula_sum 'Tl4 Pt4 Au4 S12'
_cell_length_a 3.686
_cell_length_b 13.403
_cell_length_c 10.467
_cell_angle_alpha 90.00
_cell_angle_beta 90.00
_cell_angle_gamma 90.00
_symmetry_space_group_name_H-M 'C m c m'
_symmetry_Int_Tables_number 63
_symmetry_space_group_name_Hall '-C 2c 2'
loop_
_atom_site_label
_atom_site_type_symbol
_atom_site_fract_x
_atom_site_fract_y
_atom_site_fract_z
Tl1 Tl 0.000 0.194 0.250
Pt1 Pt 0.000 0.500 0.000
Au1 Au 0.000 0.131 0.750
S1 S 0.000 0.114 0.524
S2 S 0.000 0.470 0.750
```



Compound: SbPtAu2
Source: OQMD via LeMat-Bulk
Functional: PBE-GGA
Structure: relaxed

CIF file:
```
data_SbPtAu2
_chemical_formula_sum 'Sb4 Pt4 Au8'
_cell_length_a 6.682
_cell_length_b 6.682
_cell_length_c 6.682
_cell_angle_alpha 90.00
_cell_angle_beta 90.00
_cell_angle_gamma 90.00
_symmetry_space_group_name_H-M 'F -4 3 m'
_symmetry_Int_Tables_number 216
_symmetry_space_group_name_Hall 'F -4 2 3'
loop_
_atom_site_label
_atom_site_type_symbol
_atom_site_fract_x
_atom_site_fract_y
_atom_site_fract_z
Sb1 Sb 0.000 0.000 0.000
Pt1 Pt 0.250 0.250 0.250
Au1 Au 0.000 0.000 0.500
Au2 Au 0.250 0.250 0.750
```



Compound: TlTe2PtAuSe
Source: OQMD via LeMat-Bulk
Functional: PBE-GGA
Structure: relaxed

CIF file:
```
data_TlTe2PtAuSe
_chemical_formula_sum 'Tl4 Te8 Pt4 Au4 Se4'
_cell_length_a 3.980
_cell_length_b 13.536
_cell_length_c 11.299
_cell_angle_alpha 90.00
_cell_angle_beta 90.00
_cell_angle_gamma 90.00
_symmetry_space_group_name_H-M 'C m c m'
_symmetry_Int_Tables_number 63
_symmetry_space_group_name_Hall '-C 2c 2'
loop_
_atom_site_label
_atom_site_type_symbol
_atom_site_fract_x
_atom_site_fract_y
_atom_site_fract_z
Tl1 Tl 0.000 0.200 0.250
Te1 Te 0.000 0.130 0.514
Pt1 Pt 0.000 0.500 0.000
Au1 Au 0.000 0.137 0.750
Se1 Se 0.000 0.491 0.750
```



# TlPtAuSe3 | OQMD via LeMat-Bulk | PBE-GGA | relaxed
# E above lowest polymorph (eV/f.u.): 0.00
data_TlPtAuSe3
_chemical_formula_sum 'Tl4 Pt4 Au4 Se12'
_cell_length_a 3.773
_cell_length_b 13.716
_cell_length_c 10.916
_cell_angle_alpha 90.00
_cell_angle_beta 90.00
_cell_angle_gamma 90.00
_symmetry_space_group_name_H-M 'C m c m'
_symmetry_Int_Tables_number 63
_symmetry_space_group_name_Hall '-C 2c 2'
loop_
_atom_site_label
_atom_site_type_symbol
_atom_site_fract_x
_atom_site_fract_y
_atom_site_fract_z
Tl1 Tl 0.000 0.199 0.250
Pt1 Pt 0.000 0.500 0.000
Au1 Au 0.000 0.134 0.750
Se1 Se 0.000 0.120 0.519
Se2 Se 0.000 0.477 0.750



Compound: TlPtAu3Se4
Source: OQMD via LeMat-Bulk
Functional: PBE-GGA
Structure: relaxed

CIF file:
```
data_TlPtAu3Se4
_chemical_formula_sum 'Tl1 Pt1 Au3 Se4'
_cell_length_a 6.244
_cell_length_b 6.244
_cell_length_c 6.244
_cell_angle_alpha 90.00
_cell_angle_beta 90.00
_cell_angle_gamma 90.00
_symmetry_space_group_name_H-M 'P -4 3 m'
_symmetry_Int_Tables_number 215
_symmetry_space_group_name_Hall 'P -4 2 3'
loop_
_atom_site_label
_atom_site_type_symbol
_atom_site_fract_x
_atom_site_fract_y
_atom_site_fract_z
Tl1 Tl 0.000 0.000 0.000
Pt1 Pt 0.500 0.500 0.500
Au1 Au 0.000 0.500 0.500
Se1 Se 0.265 0.265 0.265
```



DFT total energy, record by record: -0.2685, -0.3070, -0.3077, -0.2764, -0.2869, -0.2553 Ry/atom